No. 1
Cd2IrAu after structural relaxation. Source: Alexandria via LeMat-Bulk, functional GGA-PBEsol.

The space group is C2/m (No. 12) and the conventional cell measures 9.3795, 3.0197 and 4.9378 Å, with angles of 90.00, 102.29 and 90.00 degrees. Symmetry generates all atoms from Cd at (0.2461, 0.0000, 0.2437), Ir at (0.0000, 0.5000, 0.0000) and Au at (0.0000, 0.0000, 0.5000).

The calculation puts the formation enthalpy at 0 K at 0.131 eV per atom.



No. 2
SiAsRh2 after structural relaxation. Source: Alexandria via LeMat-Bulk, functional GGA-PBEsol.

The space group is Imm2 (No. 44) and the conventional cell measures 3.3930, 3.4384 and 9.8831 Å, with angles of 90.00, 90.00 and 90.00 degrees. Symmetry generates all atoms from Si at (0.0000, 0.0000, 0.0000), As at (0.0000, 0.5000, 0.7496), Rh at (0.0000, 0.0000, 0.5651) and Rh at (0.0000, 0.5000, 0.3318).

The calculation puts the total energy at -7.23 eV/atom.



No. 3
InOs3S after structural relaxation. Source: Alexandria via LeMat-Bulk, functional GGA-PBEsol.

The space group is Pm-3m (No. 221) and the conventional cell measures 4.8338, 4.8338 and 4.8338 Å, with angles of 90.00, 90.00 and 90.00 degrees. Symmetry generates all atoms from In at (0.0000, 0.0000, 0.0000), Os at (0.0000, 0.0000, 0.5000) and S at (0.5000, 0.5000, 0.5000).

The calculation puts the total energy at -5.38 eV/atom.



No. 4
Lu3InS6 after structural relaxation. Source: Alexandria via LeMat-Bulk, functional GGA-PBEsol.

The space group is P2_12_12 (No. 18) and the conventional cell measures 13.0559, 16.1582 and 3.7231 Å, with angles of 90.00, 90.00 and 90.00 degrees. Symmetry generates all atoms from Lu at (0.0387, 0.2257, 0.2501), Lu at (0.1893, 0.6457, 0.2502), Lu at (0.2496, 0.3922, 0.2505), In at (0.0000, 0.0000, 0.7489), In at (0.0000, 0.5000, 0.7506), S at (0.0215, 0.3930, 0.2504), S at (0.0978, 0.9090, 0.2495), S at (0.1118, 0.1208, 0.7499), S at (0.1139, 0.7461, 0.7501), S at (0.1818, 0.2865, 0.7503) and S at (0.1967, 0.5212, 0.7503).

The calculation puts the total energy at -6.10 eV/atom.



No. 5
Dy2Ru2O7 after structural relaxation. Source: Alexandria via LeMat-Bulk, functional GGA-PBEsol.

The space group is Fd-3m (No. 227, origin choice 2) and the conventional cell measures 10.0616, 10.0616 and 10.0616 Å, with angles of 90.00, 90.00 and 90.00 degrees. Symmetry generates all atoms from Dy at (0.0000, 0.0000, 0.0000), Ru at (0.0000, 0.0000, 0.5000), O at (0.0847, 0.3750, 0.8750) and O at (0.1250, 0.1250, 0.1250).

The calculation puts the total energy at -8.32 eV/atom.



No. 6
SrCa4Mo after structural relaxation. Source: Alexandria via LeMat-Bulk, functional GGA-PBEsol.

The space group is F-43m (No. 216) and the conventional cell measures 9.6331, 9.6331 and 9.6331 Å, with angles of 90.00, 90.00 and 90.00 degrees. Symmetry generates all atoms from Sr at (0.0000, 0.0000, 0.0000), Ca at (0.1238, 0.1238, 0.3762) and Mo at (0.2500, 0.2500, 0.7500).

The calculation puts the formation enthalpy at 0 K at 0.856 eV per atom.